(A)
Below is a relaxed structure of Rb2NdAgF6, with properties calculated at the GGA-PBE level. Values from VASP.

Geometry as Quantum ESPRESSO input:
```
&SYSTEM
  ibrav = 0, nat = 10, ntyp = 4
/
ATOMIC_SPECIES
Rb 85.47 Rb.upf
Nd 144.24 Nd.upf
Ag 107.87 Ag.upf
F 19.00 F.upf
CELL_PARAMETERS angstrom
0.0000 4.7268 4.7268
4.7268 0.0000 4.7268
4.7268 4.7268 0.0000
ATOMIC_POSITIONS crystal
Rb 0.2500 0.2500 0.2500
Rb 0.7500 0.7500 0.7500
Nd 0.0000 0.0000 0.0000
Ag 0.5000 0.5000 0.5000
F 0.2403 0.2403 0.7597
F 0.2403 0.7597 0.2403
F 0.2403 0.7597 0.7597
F 0.7597 0.2403 0.2403
F 0.7597 0.2403 0.7597
F 0.7597 0.7597 0.2403
```

***

(B)
Below is a relaxed structure of Rb2NdAgF6, with properties calculated at the GGA-PBE level. Values from VASP.

Geometry as Quantum ESPRESSO input:
```
&SYSTEM
  ibrav = 0, nat = 20, ntyp = 4
/
ATOMIC_SPECIES
Rb 85.47 Rb.upf
Nd 144.24 Nd.upf
Ag 107.87 Ag.upf
F 19.00 F.upf
CELL_PARAMETERS angstrom
6.5976 0.0000 0.0000
0.0000 6.7636 0.0000
-6.4970 0.0000 9.1514
ATOMIC_POSITIONS crystal
Rb 0.2378 0.0442 0.2490
Rb 0.2378 0.4558 0.7490
Rb 0.7622 0.5442 0.2510
Rb 0.7622 0.9558 0.7510
Nd 0.5000 0.0000 0.0000
Nd 0.5000 0.5000 0.5000
Ag 0.0000 0.0000 0.5000
Ag 0.0000 0.5000 0.0000
F 0.1800 0.1927 0.9592
F 0.1800 0.3073 0.4592
F 0.2607 0.7252 0.9507
F 0.2607 0.7748 0.4507
F 0.3444 0.0340 0.7578
F 0.3444 0.4660 0.2578
F 0.6556 0.5340 0.7422
F 0.6556 0.9660 0.2422
F 0.7393 0.2252 0.5493
F 0.7393 0.2748 0.0493
F 0.8200 0.6927 0.5408
F 0.8200 0.8073 0.0408
```

***

Which is most stable? The ranking, best first, is (B), (A).